Below is a relaxed structure of Ba2Li2Hg3, with properties calculated at the GGA-PBE level.

The structure belongs to space group R3m (No. 160, hexagonal axes); the cell edges are 5.6316, 5.6316 and 25.3618 Å and the angles 90.00°, 90.00° and 120.00°. The inequivalent atoms are Ba at (0.0000, 0.0000, 0.0000), Ba at (0.0000, 0.0000, 0.4871), Li at (0.0000, 0.0000, 0.2435), Li at (0.0000, 0.0000, 0.7364), Hg at (0.0000, 0.0000, 0.3554), Hg at (0.0000, 0.0000, 0.6212) and Hg at (0.0000, 0.0000, 0.8651).

The theoretical density comes out at 6.37 Mg/m³. As for the electronic total energy: -1.5318 eV/atom.